Record 1
Computed, not measured: crystalline CaLa2YTc at its relaxed geometry at the PBE-GGA level of DFT.

POSCAR file:
```
CaLa2YTc
1.0
5.511 0.000 0.000
0.000 5.511 0.000
0.000 0.000 5.688
Ca La Y Tc
1 2 1 1
Direct
0.000 0.000 0.000 Ca
0.000 0.500 0.500 La
0.500 0.000 0.500 La
0.500 0.500 0.000 Y
0.500 0.500 0.500 Tc
```

Properties
ΔE_f (eV/atom): 0.0008


Record 2
Computed, not measured: crystalline Ca2LaYTc at its relaxed geometry at the PBE-GGA level of DFT.

POSCAR file:
```
Ca2LaYTc
1.0
5.859 0.000 0.000
0.000 5.859 0.000
0.000 0.000 4.763
Ca La Y Tc
2 1 1 1
Direct
0.000 0.500 0.000 Ca
0.500 0.000 0.000 Ca
0.000 0.000 0.000 La
0.500 0.500 0.500 Y
0.000 0.000 0.500 Tc
```

Properties
ΔE_f (eV/atom): 0.8260


Record 3
Computed, not measured: crystalline CaLa2Te at its relaxed geometry at the PBE-GGA level of DFT.

POSCAR file:
```
CaLa2Te
1.0
4.877 0.000 0.000
0.000 4.877 0.000
0.000 0.000 5.250
Ca La Te
1 2 1
Direct
0.000 0.000 0.000 Ca
0.000 0.500 0.500 La
0.500 0.000 0.500 La
0.500 0.500 0.000 Te
```


Record 4
Computed, not measured: crystalline CaLa2Te at its relaxed geometry at the PBE-GGA level of DFT.

POSCAR file:
```
CaLa2Te
1.0
3.937 0.000 0.000
0.000 3.937 0.000
0.000 0.000 9.530
Ca La Te
1 2 1
Direct
0.000 0.000 0.000 Ca
0.500 0.500 0.303 La
0.500 0.500 0.697 La
0.000 0.000 0.500 Te
```


Record 5
Computed, not measured: crystalline CaLaTe at its relaxed geometry at the PBE-GGA level of DFT.

POSCAR file:
```
CaLaTe
1.0
4.227 0.000 0.000
-2.114 3.661 0.000
0.000 0.000 7.377
Ca La Te
1 1 1
Direct
0.000 0.000 0.000 Ca
0.667 0.333 0.445 La
0.333 0.667 0.728 Te
```

Properties
ΔE to the lowest computed polymorph (eV/atom): 0.000


Record 6
Computed, not measured: crystalline CaLaTe3 at its relaxed geometry at the PBE-GGA level of DFT.

POSCAR file:
```
CaLaTe3
1.0
5.712 0.000 0.000
0.000 5.712 0.000
0.000 0.000 5.712
Ca La Te
1 1 3
Direct
0.000 0.000 0.000 Ca
0.500 0.500 0.500 La
0.000 0.000 0.500 Te
0.000 0.500 0.000 Te
0.500 0.000 0.000 Te
```

Properties
ΔE to the lowest computed polymorph (eV/atom): 0.051


Record 7
Computed, not measured: crystalline CaLa2Te at its relaxed geometry at the PBE-GGA level of DFT.

POSCAR file:
```
CaLa2Te
1.0
3.386 -4.829 0.000
3.386 4.829 0.000
0.000 0.000 4.008
Ca La Te
1 2 1
Direct
0.000 0.000 0.000 Ca
0.000 0.500 0.500 La
0.500 0.000 0.500 La
0.500 0.500 0.000 Te
```


Record 8
Computed, not measured: crystalline CaLaTe at its relaxed geometry at the PBE-GGA level of DFT.

POSCAR file:
```
CaLaTe
1.0
0.000 3.882 3.882
3.882 0.000 3.882
3.882 3.882 0.000
Ca La Te
1 1 1
Direct
0.000 0.000 0.000 Ca
0.250 0.250 0.250 La
0.500 0.500 0.500 Te
```

Properties
ΔE to the lowest computed polymorph (eV/atom): 0.710


Record 9
Computed, not measured: crystalline CaLa2Te4 at its relaxed geometry at the PBE-GGA level of DFT.

POSCAR file:
```
CaLa2Te4
1.0
-2.848 2.848 8.139
2.848 -2.848 8.139
2.848 2.848 -8.139
Ca La Te
1 2 4
Direct
0.000 0.000 0.000 Ca
0.374 0.374 0.000 La
0.626 0.626 0.000 La
0.000 0.500 0.500 Te
0.189 0.189 0.000 Te
0.500 0.000 0.500 Te
0.811 0.811 0.000 Te
```

Properties
ΔE to the lowest computed polymorph (eV/atom): 0.392


Record 10
Computed, not measured: crystalline CaLa2Te at its relaxed geometry at the PBE-GGA level of DFT.

POSCAR file:
```
CaLa2Te
1.0
2.111 1.219 10.216
-2.111 1.219 10.216
0.000 -2.437 10.216
Ca La Te
1 2 1
Direct
0.000 0.000 0.000 Ca
0.233 0.233 0.233 La
0.767 0.767 0.767 La
0.500 0.500 0.500 Te
```


Record 11
Computed, not measured: crystalline CaLaTe at its relaxed geometry at the PBE-GGA level of DFT.

POSCAR file:
```
CaLaTe
1.0
4.553 -6.232 0.000
4.553 6.232 0.000
0.000 0.000 8.198
Ca La Te
4 4 4
Direct
0.193 0.807 0.825 Ca
0.307 0.693 0.325 Ca
0.693 0.307 0.675 Ca
0.807 0.193 0.175 Ca
0.205 0.205 0.500 La
0.295 0.295 0.000 La
0.705 0.705 0.000 La
0.795 0.795 0.500 La
0.072 0.928 0.199 Te
0.428 0.572 0.699 Te
0.572 0.428 0.301 Te
0.928 0.072 0.801 Te
```

Properties
ΔE to the lowest computed polymorph (eV/atom): 0.068


Record 12
Computed, not measured: crystalline Ca6LaTe8 at its relaxed geometry at the PBE-GGA level of DFT.

POSCAR file:
```
Ca6LaTe8
1.0
0.000 6.390 6.390
6.390 0.000 6.390
6.390 6.390 0.000
Ca La Te
6 1 8
Direct
0.000 0.000 0.500 Ca
0.000 0.500 0.000 Ca
0.000 0.500 0.500 Ca
0.500 0.000 0.000 Ca
0.500 0.000 0.500 Ca
0.500 0.500 0.000 Ca
0.000 0.000 0.000 La
0.250 0.250 0.250 Te
0.252 0.252 0.748 Te
0.252 0.748 0.252 Te
0.252 0.748 0.748 Te
0.748 0.252 0.252 Te
0.748 0.252 0.748 Te
0.748 0.748 0.252 Te
0.750 0.750 0.750 Te
```


Number 1: VASP energy -5.74 eV/atom, M_tot 0.000 μB/f.u.. Number 2: VASP energy -4.33 eV/atom, M_tot 0.000 μB/f.u.. Number 3: VASP energy -4.28 eV/atom, M_tot 0.000 μB/f.u.. Number 4: VASP energy -4.34 eV/atom, M_tot 1.853 μB/f.u.. Number 5: VASP energy -4.23 eV/atom, M_tot 0.943 μB/f.u.. Number 6: VASP energy -3.96 eV/atom, M_tot 0.000 μB/f.u.. Number 7: VASP energy -4.31 eV/atom, M_tot 0.002 μB/f.u.. Number 8: VASP energy -3.52 eV/atom, M_tot 0.967 μB/f.u.. Number 9: VASP energy -4.70 eV/atom, M_tot 0.000 μB/f.u.. Number 10: VASP energy -4.37 eV/atom, M_tot 0.000 μB/f.u.. Number 11: VASP energy -4.16 eV/atom, M_tot 0.802 μB/f.u.. Number 12: VASP energy -4.32 eV/atom, M_tot 0.000 μB/f.u..